Record 1
Computed, not measured: crystalline LaRuCl at its relaxed geometry at the GGA-PBE level of DFT.

Values from the calculation:
- raw formation energy (eV/f.u.) = 0.00
- E_tot (eV per cell) = -16.0
- offset from the most stable computed form (eV per formula unit) = 3.48

Cell lengths 4.566, 4.566, 4.566 Å; angles 60.00, 60.00, 60.00 degrees
Fractional coordinates of all 3 atoms:
Cl (0.750, 0.750, 0.750)
La (0.000, 0.000, 0.000)
Ru (0.500, 0.500, 0.500)

Record 2
Computed, not measured: crystalline CaNd2C at its relaxed geometry at the GGA-PBE level of DFT.

Values from the calculation:
- energy of formation (eV per atom) = 0.00
- E_tot (eV per cell) = -20.8
- offset from the most stable computed form (eV per formula unit) = 0.23

Cell lengths 3.705, 3.705, 10.474 Å; angles 79.81, 79.81, 60.00 degrees
Fractional coordinates of all 4 atoms:
Ca (0.000, 0.000, 0.000)
Nd (0.121, 0.121, 0.637)
Nd (0.879, 0.879, 0.363)
C (0.500, 0.500, 0.500)

- Number 1 is which compound?
  LaRuCl

- Among the records above, which one has the highest E_tot?
  LaRuCl